Computed, not measured: a geometry-optimized Cr3BrF structure at the GGA+U level of DFT.

The structure in CIF format:
```
data_Cr3BrF
_chemical_formula_sum 'Cr3 Br1 F1'
_cell_length_a 4.747
_cell_length_b 4.747
_cell_length_c 4.747
_cell_angle_alpha 90.00
_cell_angle_beta 90.00
_cell_angle_gamma 90.00
_symmetry_space_group_name_H-M 'P m -3 m'
_symmetry_Int_Tables_number 221
_symmetry_space_group_name_Hall '-P 4 2 3'
loop_
_atom_site_label
_atom_site_fract_x
_atom_site_fract_y
_atom_site_fract_z
Cr1 0.000 0.000 0.500
Br1 0.500 0.500 0.500
F1 0.000 0.000 0.000
```

Calculated values
DOS at the Fermi energy = 0.75 states/eV/f.u.
Magnetic moment = 3.14 μB/atom
Offset from the most stable computed form = 0 meV/atom
Uncorrected energy = -5.38 eV per atom